No. 1
Material: PrNdCoRh
Method: DFT, GGA-PBE
State: optimized geometry

Cell lengths 7.0545, 7.0545, 7.0545 Å; angles 90.00, 90.00, 90.00 degrees
Positions (direct):
Pr 0.0000 0.0000 0.0000
Pr 0.0000 0.5000 0.5000
Pr 0.5000 0.0000 0.5000
Pr 0.5000 0.5000 0.0000
Nd 0.0000 0.0000 0.5000
Nd 0.0000 0.5000 0.0000
Nd 0.5000 0.0000 0.0000
Nd 0.5000 0.5000 0.5000
Co 0.2500 0.2500 0.7500
Co 0.2500 0.7500 0.2500
Co 0.7500 0.2500 0.2500
Co 0.7500 0.7500 0.7500
Rh 0.2500 0.2500 0.2500
Rh 0.2500 0.7500 0.7500
Rh 0.7500 0.2500 0.7500
Rh 0.7500 0.7500 0.2500

The symmetry is F-43m. The value obtained for the energy of formation is -263 meV per atom.



No. 2
Material: PrNdCoRu
Method: DFT, GGA-PBE
State: optimized geometry

Cell lengths 7.0327, 7.0327, 7.0327 Å; angles 90.00, 90.00, 90.00 degrees
Positions (direct):
Pr 0.0000 0.0000 0.0000
Pr 0.0000 0.5000 0.5000
Pr 0.5000 0.0000 0.5000
Pr 0.5000 0.5000 0.0000
Nd 0.0000 0.0000 0.5000
Nd 0.0000 0.5000 0.0000
Nd 0.5000 0.0000 0.0000
Nd 0.5000 0.5000 0.5000
Co 0.2500 0.2500 0.2500
Co 0.2500 0.7500 0.7500
Co 0.7500 0.2500 0.7500
Co 0.7500 0.7500 0.2500
Ru 0.2500 0.2500 0.7500
Ru 0.2500 0.7500 0.2500
Ru 0.7500 0.2500 0.2500
Ru 0.7500 0.7500 0.7500

The symmetry is F-43m. The value obtained for the energy of formation is 33 meV per atom.



No. 3
Material: PrNdCoSi
Method: DFT, GGA-PBE
State: optimized geometry

Cell lengths 4.0563, 4.0563, 22.2724 Å; angles 90.00, 90.00, 120.00 degrees
Positions (direct):
Pr 0.0000 0.0000 0.0000
Pr 0.3333 0.6667 0.6667
Pr 0.6667 0.3333 0.3333
Nd 0.0000 0.0000 0.1691
Nd 0.3333 0.6667 0.8357
Nd 0.6667 0.3333 0.5024
Co 0.0000 0.0000 0.4186
Co 0.3333 0.6667 0.0853
Co 0.6667 0.3333 0.7520
Si 0.0000 0.0000 0.7527
Si 0.3333 0.6667 0.4194
Si 0.6667 0.3333 0.0861

The formation energy from raw total energies is -0.438 eV/atom. The symmetry is R3m.



No. 4
Material: PrNdTlCo
Method: DFT, GGA-PBE
State: optimized geometry

Cell lengths 7.5047, 7.5047, 7.5047 Å; angles 90.00, 90.00, 90.00 degrees
Positions (direct):
Pr 0.0000 0.0000 0.0000
Pr 0.0000 0.5000 0.5000
Pr 0.5000 0.0000 0.5000
Pr 0.5000 0.5000 0.0000
Nd 0.0000 0.0000 0.5000
Nd 0.0000 0.5000 0.0000
Nd 0.5000 0.0000 0.0000
Nd 0.5000 0.5000 0.5000
Tl 0.2500 0.2500 0.7500
Tl 0.2500 0.7500 0.2500
Tl 0.7500 0.2500 0.2500
Tl 0.7500 0.7500 0.7500
Co 0.2500 0.2500 0.2500
Co 0.2500 0.7500 0.7500
Co 0.7500 0.2500 0.7500
Co 0.7500 0.7500 0.2500

The symmetry is F-43m. The value obtained for the energy of formation is -37 meV per atom.



No. 5
Material: Nd6CoPt2
Method: DFT, GGA-PBE
State: optimized geometry

Cell lengths 6.8050, 7.4266, 11.9886 Å; angles 90.00, 121.15, 90.00 degrees
Positions (direct):
Nd 0.1001 0.0395 0.2507
Nd 0.1001 0.4605 0.7507
Nd 0.2460 0.6812 0.0727
Nd 0.2460 0.8188 0.5727
Nd 0.3855 0.1800 0.0635
Nd 0.3855 0.3200 0.5635
Nd 0.6145 0.6800 0.4365
Nd 0.6145 0.8200 0.9365
Nd 0.7540 0.1812 0.4273
Nd 0.7540 0.3188 0.9273
Nd 0.8999 0.5395 0.2493
Nd 0.8999 0.9605 0.7493
Co 0.0000 0.0000 0.0000
Co 0.0000 0.5000 0.5000
Pt 0.3205 0.1135 0.7664
Pt 0.3205 0.3865 0.2664
Pt 0.6795 0.6135 0.7336
Pt 0.6795 0.8865 0.2336

The symmetry is P2_1/c. The value obtained for the energy of formation is -548 meV per atom.



No. 6
Material: Nd5Co2Pt
Method: DFT, GGA-PBE
State: optimized geometry

Cell lengths 8.9050, 8.9050, 8.9050 Å; angles 130.40, 130.40, 72.77 degrees
Positions (direct):
Nd 0.0000 0.0000 0.0000
Nd 0.0368 0.5368 0.8526
Nd 0.1841 0.0368 0.5000
Nd 0.3159 0.8159 0.8526
Nd 0.4632 0.3159 0.5000
Nd 0.5000 0.5000 0.0000
Nd 0.5368 0.6841 0.5000
Nd 0.6841 0.1841 0.1474
Nd 0.8159 0.9632 0.5000
Nd 0.9632 0.4632 0.1474
Co 0.1107 0.3893 0.5000
Co 0.3893 0.8893 0.2785
Co 0.6107 0.1107 0.7215
Co 0.8893 0.6107 0.5000
Pt 0.2500 0.2500 0.0000
Pt 0.7500 0.7500 0.0000

The symmetry is I4/mcm. The value obtained for the energy of formation is -334 meV per atom.



No. 7
Material: Nd3CoPt
Method: DFT, GGA-PBE
State: optimized geometry

Cell lengths 8.2187, 8.2187, 8.3597 Å; angles 94.30, 94.30, 27.43 degrees
Positions (direct):
Nd 0.0545 0.0545 0.3222
Nd 0.2324 0.2324 0.6926
Nd 0.3985 0.3985 0.0476
Nd 0.6015 0.6015 0.9524
Nd 0.7676 0.7676 0.3074
Nd 0.9455 0.9455 0.6778
Co 0.2185 0.2185 0.0480
Co 0.7815 0.7815 0.9520
Pt 0.4064 0.4064 0.4170
Pt 0.5936 0.5936 0.5830

The symmetry is C2/m. The value obtained for the energy of formation is -468 meV per atom.



No. 8
Material: NdCoPt
Method: DFT, GGA-PBE
State: optimized geometry

Cell lengths 3.4672, 3.4672, 9.6958 Å; angles 90.00, 90.00, 90.00 degrees
Positions (direct):
Nd 0.0000 0.0000 0.1835
Nd 0.0000 0.0000 0.8165
Co 0.0000 0.0000 0.5000
Co 0.5000 0.5000 0.0000
Pt 0.5000 0.5000 0.3633
Pt 0.5000 0.5000 0.6367

The symmetry is P4/mmm. The value obtained for the energy of formation is -222 meV per atom.



Record-wise uncorrected energy values, in eV/atom: -6.264, -6.449, -5.957, -4.791, -5.859, -5.845, -5.958, -6.193